Material: Li3TiNi3O8
Method: DFT, PBEsol
State: optimized geometry

Unit cell a=5.6517 b=5.7171 c=5.7566 alpha=118.70 beta=119.36 gamma=90.07
Space group P-1 (No. 2)
Symmetry-distinct sites (fractional):
Li (0.0000, 0.0000, 0.0000) x1
Li (0.0000, 0.0000, 0.5000) x1
Li (0.5000, 0.0000, 0.0000) x1
Ti (0.5000, 0.5000, 0.5000) x1
Ni (0.0000, 0.5000, 0.0000) x1
Ni (0.0000, 0.5000, 0.5000) x1
Ni (0.5000, 0.5000, 0.0000) x1
O (0.2266, 0.6985, 0.9501) x2
O (0.2393, 0.2716, 0.4976) x2
O (0.2403, 0.7270, 0.4989) x2
O (0.2639, 0.2747, 0.0229) x2

Properties
D(E_F) in states/eV/cell: 4.72
E_form (uncorrected) in eV per atom: -1.63